Record 1
DFT (PBE-GGA) results for crystalline LiZn4Pd at its relaxed geometry.

Lattice parameters (Å, degrees): 5.002 5.002 5.002 60.00 60.00 60.00
Sites, in units of the cell vectors:
Li1 0.000 0.000 0.000
Zn1 0.126 0.625 0.625
Zn2 0.625 0.126 0.625
Zn3 0.625 0.625 0.126
Zn4 0.625 0.625 0.625
Pd1 0.250 0.250 0.250

Calculated values
Mass density = 7.036 g/cm3
ΔH_f (0 K) = -0.2830 eV per atom
DOS(E_F) = 0.199 states/eV/atom
ΔE to the lowest computed polymorph = 27.9 meV/atom
Raw total energy = -13.90 eV per cell
Total magnetization = 0.00 Bohr magnetons per cell

=====

Record 2
DFT (PBE-GGA) results for crystalline LiZn6Pd5 at its relaxed geometry.

Lattice parameters (Å, degrees): 6.956 6.956 5.968 90.00 90.00 143.23
Sites, in units of the cell vectors:
Li1 0.000 0.000 0.000
Zn1 0.169 0.831 0.250
Zn2 0.169 0.831 0.750
Zn3 0.500 0.500 0.249
Zn4 0.500 0.500 0.751
Zn5 0.831 0.169 0.250
Zn6 0.831 0.169 0.750
Pd1 0.000 0.000 0.500
Pd2 0.336 0.664 0.500
Pd3 0.337 0.663 0.000
Pd4 0.663 0.337 0.000
Pd5 0.664 0.336 0.500

Calculated values
Mass density = 8.949 g/cm3
ΔH_f (0 K) = -0.5113 eV per atom
DOS(E_F) = 0.363 states/eV/atom
Raw total energy = -41.66 eV per cell
Total magnetization = 0.00 Bohr magnetons per cell

=====

Record 3
DFT (PBE-GGA) results for crystalline Li15Zn4Pd at its relaxed geometry.

Lattice parameters (Å, degrees): 4.104 4.104 19.165 90.00 90.00 90.00
Sites, in units of the cell vectors:
Li1 0.000 0.000 0.000
Li2 0.000 0.000 0.197
Li3 0.000 0.000 0.399
Li4 0.000 0.000 0.601
Li5 0.000 0.000 0.803
Li6 0.000 0.500 0.094
Li7 0.000 0.500 0.298
Li8 0.000 0.500 0.500
Li9 0.000 0.500 0.702
Li10 0.000 0.500 0.906
Li11 0.500 0.000 0.094
Li12 0.500 0.000 0.298
Li13 0.500 0.000 0.500
Li14 0.500 0.000 0.702
Li15 0.500 0.000 0.906
Zn1 0.500 0.500 0.194
Zn2 0.500 0.500 0.399
Zn3 0.500 0.500 0.601
Zn4 0.500 0.500 0.806
Pd1 0.500 0.500 0.000

Calculated values
Mass density = 2.429 g/cm3
ΔH_f (0 K) = -0.1236 eV per atom
DOS(E_F) = 0.314 states/eV/atom
Raw total energy = -41.47 eV per cell
Total magnetization = 0.00 Bohr magnetons per cell

=====

Record 4
DFT (PBE-GGA) results for crystalline Li3Zn5Pd4 at its relaxed geometry.

Lattice parameters (Å, degrees): 6.717 6.717 7.132 114.26 114.26 38.95
Sites, in units of the cell vectors:
Li1 0.000 0.000 0.000
Li2 0.421 0.421 0.557
Li3 0.579 0.579 0.443
Zn1 0.162 0.162 0.376
Zn2 0.292 0.292 0.135
Zn3 0.500 0.500 0.000
Zn4 0.708 0.708 0.865
Zn5 0.838 0.838 0.624
Pd1 0.066 0.066 0.713
Pd2 0.291 0.291 0.770
Pd3 0.709 0.709 0.230
Pd4 0.934 0.934 0.287

Calculated values
Mass density = 7.056 g/cm3
ΔH_f (0 K) = -0.2976 eV per atom
DOS(E_F) = 0.355 states/eV/atom
Raw total energy = -36.45 eV per cell
Total magnetization = 0.00 Bohr magnetons per cell

=====

Record 5
DFT (PBE-GGA) results for crystalline Li2Zn7Pd at its relaxed geometry.

Lattice parameters (Å, degrees): 4.268 4.268 10.353 90.00 90.00 120.00
Sites, in units of the cell vectors:
Li1 0.000 0.000 0.000
Li2 0.333 0.667 0.575
Zn1 0.000 0.000 0.263
Zn2 0.000 0.000 0.729
Zn3 0.333 0.667 0.074
Zn4 0.333 0.667 0.326
Zn5 0.333 0.667 0.824
Zn6 0.667 0.333 0.423
Zn7 0.667 0.333 0.898
Pd1 0.667 0.333 0.161

Calculated values
Mass density = 5.879 g/cm3
ΔH_f (0 K) = -0.1159 eV per atom
DOS(E_F) = 0.296 states/eV/atom
Raw total energy = -19.10 eV per cell
Total magnetization = 0.00 Bohr magnetons per cell

=====

Record 6
DFT (PBE-GGA) results for crystalline Li4Zn5Pd at its relaxed geometry.

Lattice parameters (Å, degrees): 6.558 6.558 6.558 97.70 97.70 137.06
Sites, in units of the cell vectors:
Li1 0.000 0.290 0.290
Li2 0.000 0.710 0.710
Li3 0.290 0.000 0.290
Li4 0.710 0.000 0.710
Zn1 0.243 0.243 0.000
Zn2 0.331 0.331 0.616
Zn3 0.331 0.715 0.000
Zn4 0.715 0.331 0.000
Zn5 0.715 0.715 0.384
Pd1 0.748 0.748 0.000

Calculated values
Mass density = 4.284 g/cm3
ΔH_f (0 K) = -0.1388 eV per atom
DOS(E_F) = 0.453 states/eV/atom
Raw total energy = -20.61 eV per cell
Total magnetization = 0.00 Bohr magnetons per cell